--- A ---
# Li2La2Cu

Li2La2Cu after structural relaxation (PBE, Alexandria).

Values from the calculation:
- Symmetry: No. 127
- Calculated volume: 30.33 A^3/atom

Cell lengths 7.468, 7.468, 5.439 Å; angles 90.00, 90.00, 90.00 degrees
Element x y z (fractional)
1 Li 0.152 0.348 0.000
2 Li 0.348 0.848 0.000
3 Li 0.652 0.152 0.000
4 Li 0.848 0.652 0.000
5 La 0.150 0.650 0.500
6 La 0.350 0.150 0.500
7 La 0.650 0.850 0.500
8 La 0.850 0.350 0.500
9 Cu 0.000 0.000 0.500
10 Cu 0.500 0.500 0.500

=====

--- B ---
# Li2La2Cu

Li2La2Cu after structural relaxation (PBE, Alexandria).

Values from the calculation:
- Symmetry: No. 127
- Calculated volume: 23.91 A^3/atom

Cell lengths 6.771, 6.771, 5.215 Å; angles 90.00, 90.00, 90.00 degrees
Element x y z (fractional)
1 Li 0.140 0.360 0.000
2 Li 0.360 0.860 0.000
3 Li 0.640 0.140 0.000
4 Li 0.860 0.640 0.000
5 La 0.178 0.678 0.500
6 La 0.322 0.178 0.500
7 La 0.678 0.822 0.500
8 La 0.822 0.322 0.500
9 Cu 0.000 0.000 0.000
10 Cu 0.500 0.500 0.000

=====

Most stable pick: B. Distance to second place: 19.7 kJ/mol of atoms.

=====

--- A ---
# LiLa8Cu3O16

LiLa8Cu3O16 after structural relaxation (PBE, Alexandria).

Values from the calculation:
- Symmetry: No. 2
- Calculated volume: 13.52 A^3/atom

Cell lengths 7.082, 7.596, 8.481 Å; angles 63.52, 69.10, 74.84 degrees
Element x y z (fractional)
1 Li 0.000 0.000 0.000
2 La 0.272 0.597 0.182
3 La 0.274 0.850 0.679
4 La 0.280 0.334 0.689
5 La 0.282 0.091 0.175
6 La 0.718 0.909 0.825
7 La 0.720 0.666 0.311
8 La 0.726 0.150 0.321
9 La 0.728 0.403 0.818
10 Cu 0.000 0.500 0.000
11 Cu 0.002 0.750 0.499
12 Cu 0.998 0.250 0.501
13 O 0.000 0.000 0.500
14 O 0.000 0.500 0.500
15 O 0.002 0.127 0.747
16 O 0.006 0.625 0.748
17 O 0.019 0.742 0.995
18 O 0.357 0.972 0.908
19 O 0.367 0.706 0.410
20 O 0.371 0.200 0.399
21 O 0.376 0.423 0.915
22 O 0.624 0.577 0.085
23 O 0.629 0.800 0.601
24 O 0.633 0.294 0.590
25 O 0.643 0.028 0.092
26 O 0.981 0.258 0.005
27 O 0.994 0.375 0.252
28 O 0.998 0.873 0.253

=====

--- B ---
# LiLa8Cu3O16

LiLa8Cu3O16 after structural relaxation (PBE, Alexandria).

Values from the calculation:
- Symmetry: No. 2
- Calculated volume: 14.59 A^3/atom

Cell lengths 6.916, 8.048, 8.958 Å; angles 102.99, 112.34, 106.91 degrees
Element x y z (fractional)
1 Li 0.000 0.000 0.000
2 La 0.025 0.838 0.324
3 La 0.026 0.337 0.324
4 La 0.472 0.912 0.175
5 La 0.473 0.411 0.175
6 La 0.527 0.589 0.825
7 La 0.528 0.088 0.825
8 La 0.974 0.663 0.676
9 La 0.975 0.162 0.676
10 Cu 0.000 0.500 0.000
11 Cu 0.499 0.750 0.499
12 Cu 0.501 0.250 0.501
13 O 0.000 0.265 0.000
14 O 0.000 0.735 0.000
15 O 0.126 0.438 0.625
16 O 0.126 0.938 0.625
17 O 0.254 0.627 0.255
18 O 0.264 0.132 0.264
19 O 0.376 0.312 0.875
20 O 0.376 0.814 0.876
21 O 0.500 0.000 0.500
22 O 0.500 0.500 0.500
23 O 0.624 0.186 0.124
24 O 0.624 0.688 0.125
25 O 0.736 0.868 0.736
26 O 0.746 0.373 0.745
27 O 0.874 0.062 0.375
28 O 0.874 0.562 0.375

=====

--- C ---
# LiLa8Cu3O16

LiLa8Cu3O16 after structural relaxation (PBE, Alexandria).

Values from the calculation:
- Symmetry: No. 1
- Calculated volume: 15.28 A^3/atom

Cell lengths 6.920, 8.359, 9.029 Å; angles 103.12, 111.43, 107.78 degrees
Element x y z (fractional)
1 Li 0.000 0.000 0.000
2 La 0.013 0.871 0.320
3 La 0.024 0.350 0.320
4 La 0.461 0.945 0.169
5 La 0.483 0.427 0.167
6 La 0.505 0.106 0.809
7 La 0.512 0.616 0.827
8 La 0.963 0.682 0.657
9 La 0.966 0.190 0.667
10 Cu 0.488 0.289 0.486
11 Cu 0.517 0.773 0.517
12 Cu 0.964 0.545 0.967
13 O 0.012 0.783 0.030
14 O 0.065 0.390 0.056
15 O 0.103 0.961 0.616
16 O 0.121 0.458 0.619
17 O 0.257 0.155 0.256
18 O 0.356 0.836 0.864
19 O 0.369 0.331 0.865
20 O 0.459 0.961 0.468
21 O 0.470 0.528 0.453
22 O 0.596 0.710 0.124
23 O 0.618 0.204 0.112
24 O 0.721 0.386 0.716
25 O 0.742 0.848 0.750
26 O 0.864 0.088 0.367
27 O 0.891 0.587 0.362
28 O 0.939 0.190 0.941

=====

--- D ---
# LiLa8Cu3O16

LiLa8Cu3O16 after structural relaxation (PBE, Alexandria).

Values from the calculation:
- Symmetry: No. 2
- Calculated volume: 13.70 A^3/atom

Cell lengths 7.055, 7.666, 7.667 Å; angles 91.74, 104.95, 105.59 degrees
Element x y z (fractional)
1 Li 0.000 0.000 0.000
2 La 0.275 0.310 0.828
3 La 0.275 0.814 0.322
4 La 0.278 0.829 0.816
5 La 0.281 0.323 0.310
6 La 0.719 0.677 0.690
7 La 0.722 0.171 0.184
8 La 0.725 0.186 0.678
9 La 0.725 0.690 0.172
10 Cu 0.000 0.000 0.500
11 Cu 0.000 0.500 0.000
12 Cu 0.000 0.500 0.500
13 O 0.020 0.505 0.758
14 O 0.020 0.749 0.005
15 O 0.022 0.005 0.262
16 O 0.023 0.253 0.505
17 O 0.361 0.618 0.565
18 O 0.363 0.114 0.065
19 O 0.377 0.064 0.628
20 O 0.377 0.562 0.125
21 O 0.623 0.438 0.875
22 O 0.623 0.936 0.372
23 O 0.637 0.886 0.935
24 O 0.639 0.382 0.435
25 O 0.977 0.747 0.495
26 O 0.978 0.995 0.738
27 O 0.980 0.251 0.995
28 O 0.980 0.495 0.242

=====

Most stable pick: B. Distance to second place: 3.1 kJ/mol of atoms.